Here is a relaxed structure of K4Nd3CoO8 from Alexandria. Energies are from GGA+U.

It has space group C2/m (No. 12), with a = 12.411 Å, b = 6.994 Å, c = 7.462 Å, α = 90.00°, β = 122.59° and γ = 90.00°. Symmetry generates all atoms from K at (0.000, 0.000, 0.000), K at (0.000, 0.500, 0.000), K at (0.250, 0.250, 0.000), Nd at (0.000, 0.000, 0.500), Nd at (0.250, 0.250, 0.500), Co at (0.000, 0.500, 0.500), O at (0.018, 0.281, 0.328), O at (0.228, 0.000, 0.694) and O at (0.249, 0.000, 0.285).

The calculation puts the total energy at -195.4 eV per cell. Its magnetic moment is 4.0 μB per formula unit.